VASP calculation (GGA-PBE) on a geometry-optimized Ce4SnGeSe2 structure.

Formation energy (no corrections), eV/atom: -1.206
Magnetization, μB per formula unit: 2.921
Calculated density, g/cm³: 6.74
Electronic total energy, eV/atom: -6.1218

abc: 7.391 4.304 7.484
angles: 90.00 109.60 90.00
Space group P2/m (No. 10)
One atom of each set of equivalent atoms:
Ce  0.241  0.000  0.238 [2 per cell]
Ce  0.249  0.500  0.758 [2 per cell]
Sn  0.500  0.500  0.500 [1 per cell]
Ge  0.500  0.000  0.000 [1 per cell]
Se  0.000  0.000  0.500 [1 per cell]
Se  0.000  0.500  0.000 [1 per cell]